Record 1
Below is an optimized crystal structure of TaSbS4, with properties calculated at the GGA-PBE level.

Results
- ΔE_f (raw): -0.506 eV per atom
- Energy above the most stable polymorph in this dataset: 118.9 meV per atom
- M_tot: 0.00 μB per formula unit

Lattice parameters (Å, degrees): 16.470 5.039 9.052 90.00 106.41 90.00
Space group C2/m (No. 12)
One atom of each set of equivalent atoms:
Ta 0.191 0.000 0.290 [4 per cell]
Sb 0.124 0.000 0.673 [4 per cell]
S 0.069 0.000 0.387 [4 per cell]
S 0.118 0.000 0.050 [4 per cell]
S 0.165 0.500 0.727 [4 per cell]
S 0.225 0.500 0.355 [4 per cell]

Record 2
Below is an optimized crystal structure of TaSbS, with properties calculated at the GGA-PBE level.

Results
- ΔE_f (raw): -0.441 eV per atom
- Energy above the most stable polymorph in this dataset: 65.1 meV per atom
- M_tot: 0.00 μB per formula unit

Lattice parameters (Å, degrees): 3.258 6.155 6.820 96.65 90.13 90.30
Space group P-1 (No. 2)
One atom of each set of equivalent atoms:
Ta 0.250 0.236 0.499 [2 per cell]
Sb 0.251 0.607 0.804 [2 per cell]
S 0.249 0.892 0.273 [2 per cell]

Record 3
Below is an optimized crystal structure of TaSb2S, with properties calculated at the GGA-PBE level.

Results
- ΔE_f (raw): 0.672 eV per atom
- M_tot: 0.00 μB per formula unit

Lattice parameters (Å, degrees): 6.332 6.332 12.378 90.00 90.00 90.00
Space group I-42d (No. 122)
One atom of each set of equivalent atoms:
Ta 0.000 0.000 0.000 [4 per cell]
Sb 0.240 0.250 0.125 [8 per cell]
S 0.000 0.000 0.500 [4 per cell]

Record 4
Below is an optimized crystal structure of TaSb3S, with properties calculated at the GGA-PBE level.

Results
- ΔE_f (raw): 0.548 eV per atom
- Energy above the most stable polymorph in this dataset: 0.0 meV per atom
- M_tot: 0.01 μB per formula unit

Lattice parameters (Å, degrees): 5.293 5.293 5.293 90.00 90.00 90.00
Space group Pm-3m (No. 221)
One atom of each set of equivalent atoms:
Ta 0.000 0.000 0.000 [1 per cell]
Sb 0.000 0.000 0.500 [3 per cell]
S 0.500 0.500 0.500 [1 per cell]

Record 5
Below is an optimized crystal structure of TaSbS4, with properties calculated at the GGA-PBE level.

Results
- ΔE_f (raw): -0.625 eV per atom
- Energy above the most stable polymorph in this dataset: 0.0 meV per atom
- M_tot: 0.00 μB per formula unit

Lattice parameters (Å, degrees): 6.576 3.621 7.016 90.00 106.93 90.00
Space group P2/m (No. 10)
One atom of each set of equivalent atoms:
Ta 0.000 0.000 0.000 [1 per cell]
Sb 0.500 0.500 0.000 [1 per cell]
S 0.219 0.500 0.209 [2 per cell]
S 0.233 0.000 0.785 [2 per cell]

Record 6
Below is an optimized crystal structure of TaSbS2, with properties calculated at the GGA-PBE level.

Results
- ΔE_f (raw): 0.065 eV per atom
- M_tot: 0.00 μB per formula unit

Lattice parameters (Å, degrees): 6.345 6.345 10.414 90.00 90.00 90.00
Space group I-42d (No. 122)
One atom of each set of equivalent atoms:
Ta 0.000 0.000 0.000 [4 per cell]
Sb 0.000 0.000 0.500 [4 per cell]
S 0.176 0.250 0.125 [8 per cell]

Record 7
Below is an optimized crystal structure of TaSb3S, with properties calculated at the GGA-PBE level.

Results
- ΔE_f (raw): 1.017 eV per atom
- Energy above the most stable polymorph in this dataset: 469.4 meV per atom
- M_tot: 1.57 μB per formula unit

Lattice parameters (Å, degrees): 5.054 5.054 5.054 90.00 90.00 90.00
Space group Pm-3m (No. 221)
One atom of each set of equivalent atoms:
Ta 0.000 0.000 0.000 [1 per cell]
Sb 0.000 0.500 0.500 [3 per cell]
S 0.500 0.500 0.500 [1 per cell]

Record 8
Below is an optimized crystal structure of Ta3SbS8, with properties calculated at the GGA-PBE level.

Results
- ΔE_f (raw): -0.791 eV per atom
- M_tot: 0.00 μB per formula unit

Lattice parameters (Å, degrees): 6.9638 6.9638 13.1523 90.00 90.00 120.00
Space group P6_3mc (No. 186)
One atom of each set of equivalent atoms:
Ta 0.1636 0.3272 0.0000 [6 per cell]
Sb 0.3333 0.6667 0.2370 [2 per cell]
S 0.0000 0.0000 0.1157 [2 per cell]
S 0.9999 0.5000 0.1149 [6 per cell]
S 0.1648 0.3296 0.3963 [6 per cell]
S 0.3333 0.6667 0.8906 [2 per cell]

Record 9
Below is an optimized crystal structure of TaSbS2, with properties calculated at the GGA-PBE level.

Results
- ΔE_f (raw): -0.678 eV per atom
- M_tot: 0.00 μB per formula unit

Lattice parameters (Å, degrees): 3.310 6.006 8.936 96.58 100.28 90.00
Space group P1 (No. 1)
One atom of each set of equivalent atoms:
Ta 0.000 0.000 0.000 [1 per cell]
Ta 0.500 0.422 0.000 [1 per cell]
Sb 0.171 0.710 0.496 [1 per cell]
Sb 0.883 0.211 0.500 [1 per cell]
S 0.075 0.660 0.162 [1 per cell]
S 0.419 0.762 0.838 [1 per cell]
S 0.595 0.156 0.191 [1 per cell]
S 0.911 0.265 0.810 [1 per cell]

Record 10
Below is an optimized crystal structure of TaSb3S8, with properties calculated at the GGA-PBE level.

Results
- ΔE_f (raw): -0.393 eV per atom
- M_tot: 0.00 μB per formula unit

Lattice parameters (Å, degrees): 12.984 7.510 8.109 90.00 122.47 90.00
Space group C2/m (No. 12)
One atom of each set of equivalent atoms:
Ta 0.000 0.000 0.000 [2 per cell]
Sb 0.000 0.500 0.000 [2 per cell]
Sb 0.250 0.250 0.000 [4 per cell]
S 0.008 0.233 0.792 [8 per cell]
S 0.226 0.000 0.208 [4 per cell]
S 0.244 0.500 0.226 [4 per cell]

Record 11
Below is an optimized crystal structure of Ta2SbS, with properties calculated at the GGA-PBE level.

Results
- ΔE_f (raw): 0.032 eV per atom
- Energy above the most stable polymorph in this dataset: 0.0 meV per atom
- M_tot: 0.00 μB per formula unit

Lattice parameters (Å, degrees): 6.574 6.574 6.574 90.00 90.00 90.00
Space group Fm-3m (No. 225)
One atom of each set of equivalent atoms:
Ta 0.250 0.250 0.250 [8 per cell]
Sb 0.000 0.000 0.000 [4 per cell]
S 0.000 0.000 0.500 [4 per cell]

Record 12
Below is an optimized crystal structure of TaTl2Sb2S6, with properties calculated at the GGA-PBE level.

Results
- ΔE_f (raw): -0.372 eV per atom
- M_tot: 0.00 μB per formula unit

Lattice parameters (Å, degrees): 13.671 6.911 7.226 90.00 115.80 90.00
Space group C2/m (No. 12)
One atom of each set of equivalent atoms:
Ta 0.000 0.000 0.000 [2 per cell]
Tl 0.237 0.000 0.751 [4 per cell]
Sb 0.039 0.500 0.338 [4 per cell]
S 0.089 0.251 0.873 [8 per cell]
S 0.166 0.000 0.296 [4 per cell]

> Which value of M_tot does entry 6 give?

0.00 μB per formula unit